[1]
Here is a crystal of AgHI2 relaxed with PBEsol from Alexandria via LeMat-Bulk. Energies are from SCAN.

abc: 7.181 7.181 7.181
angles: 90.00 90.00 90.00
Space group Fm-3m (No. 225)
One atom of each set of equivalent atoms:
Ag 0.000 0.000 0.000
H 0.000 0.000 0.500
I 0.250 0.250 0.250

Computed properties:
Its total energy is -1.9393 Ry per atom.



[2]
Here is a crystal of Ag2SbHI relaxed with PBEsol from Alexandria via LeMat-Bulk. Energies are from SCAN.

abc: 4.859 4.859 4.209
angles: 90.00 90.00 90.00
Space group P4/mmm (No. 123)
One atom of each set of equivalent atoms:
Ag 0.000 0.500 0.000
Sb 0.000 0.000 0.500
H 0.000 0.000 0.000
I 0.500 0.500 0.500

Computed properties:
Its total energy is -2.0173 Ry per atom.



[3]
Here is a crystal of YInAg2H relaxed with PBEsol from Alexandria via LeMat-Bulk. Energies are from SCAN.

abc: 5.271 5.271 3.644
angles: 90.00 90.00 90.00
Space group P4/mmm (No. 123)
One atom of each set of equivalent atoms:
Y 0.000 0.000 0.000
In 0.500 0.500 0.500
Ag 0.000 0.500 0.500
H 0.500 0.500 0.000

Computed properties:
Its total energy is -1.8597 Ry per atom.



[4]
Here is a crystal of AgHIr2Rh relaxed with PBEsol from Alexandria via LeMat-Bulk. Energies are from SCAN.

abc: 3.908 3.908 3.953
angles: 90.00 90.00 90.00
Space group P4/mmm (No. 123)
One atom of each set of equivalent atoms:
Ag 0.000 0.000 0.000
H 0.500 0.500 0.500
Ir 0.000 0.500 0.500
Rh 0.500 0.500 0.000

Computed properties:
Its total energy is -3.0687 Ry per atom.



[5]
Here is a crystal of KLaAgH2 relaxed with PBEsol from Alexandria via LeMat-Bulk. Energies are from SCAN.

abc: 4.631 4.631 5.941
angles: 90.00 90.00 90.00
Space group P4/mmm (No. 123)
One atom of each set of equivalent atoms:
K 0.000 0.000 0.000
La 0.500 0.500 0.500
Ag 0.500 0.500 0.000
H 0.000 0.500 0.500

Computed properties:
Its total energy is -1.3251 Ry per atom.



[6]
Here is a crystal of La2AgH2 relaxed with PBEsol from Alexandria via LeMat-Bulk. Energies are from SCAN.

abc: 3.816 3.816 13.172
angles: 90.00 90.00 90.00
Space group I4/mmm (No. 139)
One atom of each set of equivalent atoms:
La 0.000 0.000 0.144
Ag 0.000 0.000 0.500
H 0.000 0.500 0.250

Computed properties:
Its total energy is -1.8699 Ry per atom.



[7]
Here is a crystal of La2AgH2 relaxed with PBEsol from Alexandria via LeMat-Bulk. Energies are from SCAN.

abc: 7.248 7.248 3.296
angles: 90.00 90.00 90.00
Space group P4/mbm (No. 127)
One atom of each set of equivalent atoms:
La 0.169 0.331 0.000
Ag 0.000 0.000 0.500
H 0.118 0.618 0.500

Computed properties:
Its total energy is -1.8478 Ry per atom.



[8]
Here is a crystal of LaAg2H relaxed with PBEsol from Alexandria via LeMat-Bulk. Energies are from SCAN.

abc: 6.903 6.903 6.903
angles: 90.00 90.00 90.00
Space group Fm-3m (No. 225)
One atom of each set of equivalent atoms:
La 0.000 0.000 0.000
Ag 0.250 0.250 0.250
H 0.000 0.000 0.500

Computed properties:
Its total energy is -1.9827 Ry per atom.